CaMgFe2: optimized geometry, GGA-PBEsol.

Calculated values
Space group: R3m (160)
Calculated volume: 18.57 Å³/atom
Energy relative to the elements: 0.57 eV/atom
Total DFT energy (no corrections): -4.870 eV per atom

```
CaMgFe2
1.0
3.111 0.000 0.000
1.556 2.694 0.000
1.556 0.898 8.863
Fe Mg Ca
2 1 1
Direct
0.738 0.738 0.785
0.015 0.015 0.954
0.484 0.484 0.547
0.262 0.262 0.215
```

Sr2CoSb: optimized geometry, GGA-PBEsol.

Calculated values
Space group: I-4m2 (119)
Calculated volume: 27.03 Å³/atom
E_form (uncorrected): 0.0584 eV/atom
Total DFT energy (no corrections): -3.935 eV per atom

```
Sr2CoSb
1.0
-1.031 3.408 2.905
-3.025 1.668 -3.031
-1.652 -5.426 2.146
Sr Co Sb
2 1 1
Direct
0.000 0.000 0.000
0.750 0.250 0.500
0.500 0.500 0.000
0.250 0.750 0.500
```

KGa2Au2: optimized geometry, GGA-PBEsol.

Calculated values
Space group: I4/mmm (139)
Calculated volume: 21.79 Å³/atom
Energy relative to the elements: -0.27 eV/atom
Total DFT energy (no corrections): -3.400 eV per atom

```
KGa2Au2
1.0
-1.737 -4.340 -0.099
4.308 -1.710 -0.612
-0.718 2.686 5.297
K Ga Au
1 2 2
Direct
0.000 0.000 0.000
0.365 0.365 0.729
0.635 0.635 0.271
0.250 0.750 0.500
0.750 0.250 0.500
```

SiAg5: optimized geometry, GGA-PBEsol.

Calculated values
Space group: F-43m (216)
Calculated volume: 17.74 Å³/atom
E_form (uncorrected): 0.3575 eV/atom
Total DFT energy (no corrections): -3.360 eV per atom

```
SiAg5
1.0
5.319 0.000 0.000
2.660 4.607 0.000
2.660 1.536 4.343
Ag Si
5 1
Direct
0.625 0.625 0.625
0.625 0.625 0.125
0.625 0.125 0.625
0.125 0.625 0.625
0.250 0.250 0.250
0.000 0.000 0.000
```

MgSc2Ru: optimized geometry, GGA-PBEsol.

Calculated values
Space group: P4/mmm (123)
Calculated volume: 19.70 Å³/atom
Energy relative to the elements: -0.38 eV/atom
Total DFT energy (no corrections): -6.654 eV per atom

```
MgSc2Ru
1.0
3.217 0.000 0.000
0.000 3.217 0.000
0.000 0.000 7.611
Sc Ru Mg
2 1 1
Direct
0.000 0.000 0.302
0.000 0.000 0.698
0.500 0.500 0.500
0.500 0.500 0.000
```

LiZn2As: optimized geometry, GGA-PBEsol.

Calculated values
Space group: I-42d (122)
Calculated volume: 18.39 Å³/atom
Energy relative to the elements: -0.04 eV/atom
Total DFT energy (no corrections): -2.599 eV per atom

```
LiZn2As
1.0
4.884 0.000 0.000
2.442 5.488 0.000
2.442 0.000 5.488
Zn As Li
4 2 2
Direct
0.375 0.938 0.562
0.063 0.562 0.062
0.687 0.438 0.938
0.875 0.062 0.438
0.750 0.500 0.500
0.000 0.000 0.000
0.500 0.000 0.000
0.250 0.500 0.500
```

SrY2Cr: optimized geometry, GGA-PBEsol.

Calculated values
Space group: P4mm (99)
Calculated volume: 30.16 Å³/atom
Energy relative to the elements: 0.45 eV/atom
Total DFT energy (no corrections): -5.982 eV per atom

```
SrY2Cr
1.0
-2.467 -0.985 2.582
-0.550 -3.217 -1.753
6.426 -3.680 4.736
Cr Sr Y
1 1 2
Direct
0.000 0.000 0.462
0.500 0.500 0.707
0.500 0.500 0.295
0.000 0.000 0.036
```

MnZnSi2: optimized geometry, GGA-PBEsol.

Calculated values
Space group: Cm (8)
Calculated volume: 12.47 Å³/atom
E_form (uncorrected): 0.0230 eV/atom
Total DFT energy (no corrections): -5.686 eV per atom

```
MnZnSi2
1.0
2.667 0.000 0.000
0.000 4.251 -0.011
-1.333 -0.362 4.401
Si Zn Mn
2 1 1
Direct
0.013 0.027 0.026
0.249 0.737 0.499
0.491 0.507 0.982
0.746 0.230 0.493
```

TbAsS: optimized geometry, GGA-PBEsol.

Calculated values
Space group: P4/nmm (129)
Calculated volume: 20.09 Å³/atom
E_form (uncorrected): -1.6401 eV/atom
Total DFT energy (no corrections): -6.474 eV per atom

```
TbAsS
1.0
3.785 0.000 0.000
0.000 3.785 0.000
0.000 0.000 8.414
Tb As S
2 2 2
Direct
0.500 0.000 0.290
0.000 0.500 0.710
0.000 0.000 0.000
0.500 0.500 0.000
0.500 0.000 0.626
0.000 0.500 0.374
```

Nd2H22C10N6O21: optimized geometry, GGA-PBEsol.

Calculated values
Space group: C2/c (15)
Calculated volume: 9.64 Å³/atom
Total DFT energy (no corrections): -6.704 eV per atom

```
Nd2H22C10N6O21
1.0
8.997 -0.031 0.094
1.747 8.826 0.094
3.545 2.902 14.863
H O Nd C N
44 42 4 20 12
Direct
0.547 0.339 0.747
0.587 0.615 0.098
0.183 0.588 0.112
0.385 0.413 0.402
0.314 0.687 0.023
0.817 0.267 0.673
0.998 0.182 0.552
0.267 0.817 0.173
0.686 0.313 0.977
0.868 0.659 0.896
0.955 0.887 0.989
0.002 0.818 0.448
0.734 0.778 0.492
0.045 0.113 0.011
0.413 0.586 0.612
0.412 0.817 0.388
0.860 0.092 0.664
0.588 0.183 0.612
0.587 0.414 0.388
0.586 0.413 0.112
0.132 0.341 0.104
0.341 0.132 0.604
0.266 0.222 0.508
0.140 0.908 0.336
0.414 0.587 0.888
0.615 0.587 0.598
0.113 0.045 0.511
0.313 0.686 0.477
0.413 0.385 0.902
0.182 0.998 0.052
0.183 0.733 0.327
0.887 0.955 0.489
0.339 0.547 0.247
0.092 0.860 0.164
0.222 0.266 0.008
0.453 0.661 0.253
0.733 0.183 0.827
0.818 0.002 0.948
0.817 0.412 0.888
0.659 0.868 0.396
0.687 0.314 0.523
0.661 0.453 0.753
0.908 0.140 0.836
0.778 0.734 0.992
0.860 0.422 0.470
0.140 0.876 0.635
0.140 0.578 0.530
0.876 0.140 0.135
0.155 0.071 0.994
0.648 0.698 0.245
0.698 0.648 0.745
0.922 0.796 0.176
0.457 0.160 0.916
0.578 0.140 0.030
0.160 0.457 0.416
0.352 0.302 0.755
0.468 0.768 0.810
0.345 0.655 0.250
0.929 0.845 0.506
0.860 0.124 0.365
0.565 0.043 0.733
0.532 0.232 0.190
0.004 0.733 0.799
0.043 0.565 0.233
0.071 0.155 0.494
0.902 0.193 0.646
0.796 0.922 0.676
0.957 0.435 0.767
0.768 0.468 0.310
0.204 0.078 0.324
0.807 0.098 0.854
0.996 0.267 0.201
0.267 0.996 0.701
0.302 0.352 0.255
0.193 0.902 0.146
0.845 0.929 0.006
0.733 0.004 0.299
0.232 0.532 0.690
0.543 0.840 0.084
0.422 0.860 0.970
0.655 0.345 0.750
0.078 0.204 0.824
0.124 0.860 0.865
0.840 0.543 0.584
0.435 0.957 0.267
0.098 0.807 0.354
0.971 0.682 0.658
0.029 0.318 0.342
0.318 0.029 0.842
0.682 0.971 0.158
0.341 0.077 0.279
0.278 0.479 0.005
0.906 0.174 0.203
0.510 0.086 0.984
0.094 0.826 0.797
0.826 0.094 0.297
0.397 0.234 0.237
0.659 0.923 0.721
0.766 0.603 0.263
0.603 0.766 0.763
0.077 0.341 0.779
0.914 0.490 0.516
0.490 0.914 0.016
0.479 0.278 0.505
0.234 0.397 0.737
0.521 0.722 0.495
0.086 0.510 0.484
0.174 0.906 0.703
0.722 0.521 0.995
0.923 0.659 0.221
0.486 0.373 0.425
0.787 0.649 0.956
0.598 0.248 0.547
0.752 0.402 0.953
0.248 0.598 0.047
0.213 0.351 0.044
0.627 0.514 0.075
0.402 0.752 0.453
0.373 0.486 0.925
0.351 0.213 0.544
0.514 0.627 0.575
0.649 0.787 0.456
```

ZnCrP: optimized geometry, GGA-PBEsol.

Calculated values
Space group: F-43m (216)
Calculated volume: 13.49 Å³/atom
Energy relative to the elements: 0.12 eV/atom
Total DFT energy (no corrections): -5.751 eV per atom

```
ZnCrP
1.0
3.854 0.000 0.000
1.927 3.338 0.000
1.927 1.113 3.147
Zn P Cr
1 1 1
Direct
0.000 0.000 0.000
0.250 0.250 0.250
0.500 0.500 0.500
```

Ge2RuBr: optimized geometry, GGA-PBEsol.

Calculated values
Space group: Fm-3m (225)
Calculated volume: 17.51 Å³/atom
E_form (uncorrected): 0.7629 eV/atom
Total DFT energy (no corrections): -4.717 eV per atom

```
Ge2RuBr
1.0
-2.611 -2.262 -3.078
-3.375 -2.812 1.452
-4.428 1.198 -0.601
Ge Ru Br
2 1 1
Direct
0.250 0.250 0.250
0.750 0.750 0.750
0.500 0.500 0.500
0.000 0.000 0.000
```